(1)
Density functional theory data (PBE) for an optimized crystal structure of Dy4HoSi4.

Results
Fermi-level density of states: 9.0 states/eV/f.u.
ΔE_f (raw): -0.4812 eV per atom
Calculated total energy: -5.445 eV per atom

a = 8.9315 Å, b = 8.9315 Å, c = 5.7761 Å
α = 90.00°, β = 90.00°, γ = 90.00°
Last column: nearest neighbours and their distance in Å.
Space group P4_2/n (No. 86, origin choice 2)
One atom of each set of equivalent atoms:
Dy  0.0758  0.6592  0.1239 [8 per cell]  5 Si 2.88-3.04
Ho  0.2500  0.2500  0.2500 [2 per cell]  4 Si 2.81
Si  0.0204  0.6134  0.6198 [8 per cell]  1 Si 2.48


(2)
Density functional theory data (PBE) for an optimized crystal structure of DyHo2Si.

Results
Fermi-level density of states: 4.8 states/eV/f.u.
ΔE_f (raw): 0.0257 eV per atom
Offset from the most stable computed form: 282 meV per atom
Calculated total energy: -4.769 eV per atom

a = 3.5383 Å, b = 3.5383 Å, c = 32.3311 Å
α = 90.00°, β = 90.00°, γ = 120.00°
Last column: nearest neighbours and their distance in Å.
Space group R-3m (No. 166, hexagonal axes)
One atom of each set of equivalent atoms:
Dy  0.0000  0.0000  0.0000 [3 per cell]  2 Ho 3.43, 6 Dy 3.54
Ho  0.0000  0.0000  0.1062 [6 per cell]  3 Si 2.83
Si  0.0000  0.0000  0.5000 [3 per cell]  6 Ho 2.83


(3)
Density functional theory data (PBE) for an optimized crystal structure of Dy2HoSi.

Results
Fermi-level density of states: 4.6 states/eV/f.u.
ΔE_f (raw): 0.0317 eV per atom
Offset from the most stable computed form: 289 meV per atom
Calculated total energy: -4.770 eV per atom

a = 3.5594 Å, b = 3.5594 Å, c = 32.2681 Å
α = 90.00°, β = 90.00°, γ = 120.00°
Last column: nearest neighbours and their distance in Å.
Space group R-3m (No. 166, hexagonal axes)
One atom of each set of equivalent atoms:
Dy  0.0000  0.0000  0.1061 [6 per cell]  3 Si 2.84
Ho  0.0000  0.0000  0.0000 [3 per cell]  2 Dy 3.42, 6 Ho 3.56
Si  0.0000  0.0000  0.5000 [3 per cell]  6 Dy 2.84


(4)
Density functional theory data (PBE) for an optimized crystal structure of DyHo2Si6.

Results
Fermi-level density of states: 5.5 states/eV/f.u.
ΔE_f (raw): -0.5178 eV per atom
Calculated total energy: -5.662 eV per atom

a = 7.0832 Å, b = 7.0832 Å, c = 3.9225 Å
α = 90.00°, β = 90.00°, γ = 120.00°
Last column: nearest neighbours and their distance in Å.
Space group P6/mmm (No. 191)
One atom of each set of equivalent atoms:
Dy  0.0000  0.0000  0.0000 [1 per cell]  12 Si 3.07
Ho  0.3333  0.6667  0.0000 [2 per cell]  12 Si 3.07
Si  0.0000  0.3336  0.5000 [6 per cell]  3 Si 2.36


(5)
Density functional theory data (PBE) for an optimized crystal structure of DyHo2Si.

Results
Fermi-level density of states: 3.8 states/eV/f.u.
ΔE_f (raw): -0.2566 eV per atom
Offset from the most stable computed form: 0 meV per atom
Calculated total energy: -5.052 eV per atom

a = 4.6112 Å, b = 4.6112 Å, c = 4.6112 Å
α = 90.00°, β = 90.00°, γ = 90.00°
Last column: nearest neighbours and their distance in Å.
Space group P4/mmm (No. 123)
One atom of each set of equivalent atoms:
Dy  0.0000  0.0000  0.0000 [1 per cell]  4 Si 3.26, 8 Ho 3.26
Ho  0.0000  0.5000  0.5000 [2 per cell]  4 Ho 3.26, 4 Dy 3.26, 4 Si 3.26
Si  0.5000  0.5000  0.0000 [1 per cell]  4 Dy 3.26, 8 Ho 3.26


(6)
Density functional theory data (PBE) for an optimized crystal structure of Dy2HoSi6.

Results
Fermi-level density of states: 5.5 states/eV/f.u.
ΔE_f (raw): -0.5234 eV per atom
Calculated total energy: -5.670 eV per atom

a = 7.0854 Å, b = 7.0854 Å, c = 3.9328 Å
α = 90.00°, β = 90.00°, γ = 120.00°
Last column: nearest neighbours and their distance in Å.
Space group P6/mmm (No. 191)
One atom of each set of equivalent atoms:
Dy  0.3333  0.6667  0.0000 [2 per cell]  12 Si 3.07
Ho  0.0000  0.0000  0.0000 [1 per cell]  12 Si 3.07
Si  0.0000  0.3330  0.5000 [6 per cell]  3 Si 2.36-2.37


(7)
Density functional theory data (PBE) for an optimized crystal structure of SmDy2Ho.

Results
Fermi-level density of states: 5.9 states/eV/f.u.
Offset from the most stable computed form: 7 meV per atom
Calculated total energy: -4.605 eV per atom
ΔE_f: 0.02 eV/atom

a = 5.0299 Å, b = 5.0299 Å, c = 5.0329 Å
α = 90.00°, β = 90.00°, γ = 90.00°
Last column: nearest neighbours and their distance in Å.
Space group P4/mmm (No. 123)
One atom of each set of equivalent atoms:
Sm  0.0000  0.0000  0.0000 [1 per cell]  4 Ho 3.56, 8 Dy 3.56
Dy  0.0000  0.5000  0.5000 [2 per cell]  4 Dy 3.56, 4 Ho 3.56, 4 Sm 3.56
Ho  0.5000  0.5000  0.0000 [1 per cell]  4 Sm 3.56, 8 Dy 3.56


(8)
Density functional theory data (PBE) for an optimized crystal structure of Sm2DyHo6.

Results
Fermi-level density of states: 13.3 states/eV/f.u.
Offset from the most stable computed form: 274 meV per atom
Calculated total energy: -4.228 eV per atom
ΔE_f: 0.38 eV/atom

a = 6.9520 Å, b = 6.9520 Å, c = 22.7292 Å
α = 90.00°, β = 90.00°, γ = 120.00°
Last column: nearest neighbours and their distance in Å.
Space group R3m (No. 160, hexagonal axes)
One atom of each set of equivalent atoms:
Sm  0.0000  0.0000  0.0000 [3 per cell]  9 Ho 3.55-3.84, 1 Sm 3.69
Sm  0.0000  0.0000  0.1625 [3 per cell]  9 Ho 3.52-3.72, 1 Sm 3.69
Dy  0.0000  0.0000  0.4111 [3 per cell]  6 Ho 3.18-3.24
Ho  0.0062  0.5031  0.9681 [9 per cell]  1 Dy 3.18, 6 Ho 3.29-3.54, 2 Sm 3.55
Ho  0.1697  0.3395  0.5215 [9 per cell]  1 Dy 3.24, 6 Ho 3.29-3.54, 2 Sm 3.52